# 1
Below is a relaxed structure of Ag2Se, with properties calculated at the GGA-PBE level.

Unit cell a=6.9325 b=6.9325 c=5.8668 alpha=64.89 beta=64.89 gamma=27.78
Element x y z (fractional)
Ag: 0.2993 0.2993 0.3120
Se: 0.2960 0.2960 0.8150
Ag: 0.9785 0.9785 0.6325
Ag: 0.6391 0.6391 0.2249
Se: 0.9817 0.9817 0.1294
Ag: 0.6387 0.6387 0.7195

Calculated values
Energy relative to the elements, uncorrected in eV per atom: 0.01

=====

# 2
Below is a relaxed structure of CuAg2Pt, with properties calculated at the GGA-PBE level.

Unit cell a=4.8289 b=4.8289 c=4.9636 alpha=79.54 beta=79.54 gamma=34.19
Element x y z (fractional)
Pt: 0.2421 0.2421 0.2664
Ag: 0.7560 0.7560 0.7476
Ag: 0.9972 0.9972 0.0018
Cu: 0.5046 0.5046 0.4843

Calculated values
ΔH_f (0 K) in meV per atom: 23
Excess energy over the best structure of this formula in the dataset in kJ/mol of formula units: 16

=====

# 3
Below is a relaxed structure of KLuO2, with properties calculated at the GGA-PBE level.

Unit cell a=3.3864 b=3.3864 c=6.5293 alpha=74.97 beta=74.97 gamma=60.00
Element x y z (fractional)
O: 0.7728 0.7728 0.6816
O: 0.2272 0.2272 0.3184
K: 0.0000 0.0000 0.0000
Lu: 0.5000 0.5000 0.5000

Calculated values
Energy relative to the elements, uncorrected in eV per atom: -2.84

=====

# 4
Below is a relaxed structure of CeNdTl2, with properties calculated at the GGA-PBE level.

Unit cell a=3.5878 b=3.5878 c=9.0611 alpha=90.00 beta=90.00 gamma=90.00
Each line ends with the local moment (μB).
Element x y z (fractional)
Tl: 0.0000 0.0000 0.7508  -0.01
Tl: 0.0000 0.0000 0.2492  -0.01
Ce: 0.5000 0.5000 0.0000  0.94
Nd: 0.5000 0.5000 0.5000  0.01

Calculated values
ΔH_f (0 K) in meV per atom: -309

=====

# 5
Below is a relaxed structure of Re2BiW, with properties calculated at the GGA-PBE level.

Unit cell a=4.2677 b=4.2677 c=9.5031 alpha=77.02 beta=77.02 gamma=90.00
Element x y z (fractional)
W: 0.5000 0.5000 0.0000
Re: 0.3750 0.4544 0.7500
Bi: 0.0000 0.0000 0.0000
Re: 0.8750 0.7956 0.7500
Re: 0.5456 0.1250 0.2500
Bi: 0.7500 0.2500 0.5000
Re: 0.2044 0.6250 0.2500
W: 0.2500 0.7500 0.5000

Calculated values
ΔH_f (0 K) in meV per atom: 1313

=====

# 6
Below is a relaxed structure of AcCuS2, with properties calculated at the GGA-PBE level.

Unit cell a=4.2901 b=4.2901 c=6.1696 alpha=69.65 beta=69.65 gamma=60.00
Element x y z (fractional)
Ac: 0.5000 0.5000 0.5000
S: 0.2624 0.2624 0.2129
Cu: 0.0000 0.0000 0.0000
S: 0.7376 0.7376 0.7871

Calculated values
Energy relative to the elements, uncorrected in eV per atom: -1.16
Excess energy over the best structure of this formula in the dataset in kJ/mol of formula units: 115

=====

# 7
Below is a relaxed structure of SrMgMo2, with properties calculated at the GGA-PBE level.

Unit cell a=10.7511 b=10.7511 c=10.7511 alpha=15.77 beta=15.77 gamma=15.77
Element x y z (fractional)
Sr: 0.2500 0.2500 0.2500
Mg: 0.7500 0.7500 0.7500
Mo: 0.0070 0.0070 0.0070
Mo: 0.4930 0.4930 0.4930

Calculated values
ΔH_f (0 K) in meV per atom: 1014

=====

# 8
Below is a relaxed structure of RbNa2N6, with properties calculated at the GGA-PBE level.

Unit cell a=6.9773 b=6.9773 c=3.8739 alpha=90.00 beta=90.00 gamma=120.00
Each line ends with the local moment (μB).
Element x y z (fractional)
N: 0.0000 0.4364 0.1025  0.27
Rb: 0.0000 0.0000 0.0000  0.02
Na: 0.3333 0.6667 0.5000  0.03
Na: 0.6667 0.3333 0.5000  0.03
N: 0.5636 0.5636 0.1025  0.27
N: 0.0000 0.5636 0.8975  0.27
N: 0.4364 0.0000 0.1025  0.27
N: 0.5636 0.0000 0.8975  0.27
N: 0.4364 0.4364 0.8975  0.27

Calculated values
Energy relative to the elements, uncorrected in eV per atom: 0.03